Version a
# GeMoN2F

Crystalline GeMoN2F at its relaxed geometry (PBE+U, the Alexandria database).

It has space group P4/mmm (No. 123), with a = 4.045 Å, b = 4.045 Å, c = 4.112 Å, α = 90.00°, β = 90.00° and γ = 90.00°. The distinct sites, in fractional coordinates, are Ge at (0.000, 0.000, 0.000), Mo at (0.500, 0.500, 0.500), N at (0.000, 0.500, 0.500) and F at (0.500, 0.500, 0.000).

Its total magnetic moment is 0.206 μB/atom.



Version b
# GeMoN2F

Crystalline GeMoN2F at its relaxed geometry (PBE+U, the Alexandria database).

It has space group P4/mmm (No. 123), with a = 3.880 Å, b = 3.880 Å, c = 3.775 Å, α = 90.00°, β = 90.00° and γ = 90.00°. The distinct sites, in fractional coordinates, are Ge at (0.000, 0.000, 0.000), Mo at (0.500, 0.500, 0.500), N at (0.000, 0.500, 0.000) and F at (0.000, 0.000, 0.500).

Its total magnetic moment is 0.597 μB/atom.



Most stable structure - version a; separation to the second - 0.196 eV/atom.